The following is a PBEsol calculation of a geometry-optimized NbCO2 structure, from the Alexandria database.

Lattice parameters (Å, degrees): 2.7859 2.7859 18.1651 90.00 90.00 120.00
With the nearest neighbours (Å) after each atom.
Fractional positions:
Nb1 0.0000 0.0000 0.0000  2 O 2.03
Nb2 0.3333 0.6667 0.6667  2 O 2.03
Nb3 0.6667 0.3333 0.3333  2 O 2.03
C1 0.0000 0.0000 0.5000  6 O 1.89
C2 0.3333 0.6667 0.1667  6 O 1.89
C3 0.6667 0.3333 0.8333  6 O 1.89
O1 0.0000 0.0000 0.1118  3 C 1.89, 1 Nb 2.03
O2 0.0000 0.0000 0.8882  3 C 1.89, 1 Nb 2.03
O3 0.3333 0.6667 0.5549  3 C 1.89, 1 Nb 2.03
O4 0.3333 0.6667 0.7785  3 C 1.89, 1 Nb 2.03
O5 0.6667 0.3333 0.2215  3 C 1.89, 1 Nb 2.03
O6 0.6667 0.3333 0.4451  3 C 1.89, 1 Nb 2.03

Properties
- Magnetic moment: 0.00 μB per cell
- Crystal system: trigonal
- SG: No. 166
- DFT total energy: -85.96 eV per cell
- ρ: 5.6 g/cm³
- Formation energy (no corrections): 0.577 eV per atom